Ba4LaRh: relaxed, PBE.

Cell: 10.166 10.166 10.166 Å, 90.00 90.00 90.00°
Space group F-43m (No. 216)
Inequivalent atoms, fractional coordinates:
Ba 0.124 0.124 0.376 (multiplicity 16)
La 0.000 0.000 0.000 (multiplicity 4)
Rh 0.250 0.250 0.750 (multiplicity 4)

Calculated values
D(E_F): 38.615 states/eV/cell
ΔE_f: 0.80 eV/atom

Ba2La2Rh: relaxed, PBE.

Cell: 7.569 7.569 6.748 Å, 90.00 90.00 90.00°
Space group P4/mbm (No. 127)
Inequivalent atoms, fractional coordinates:
Ba 0.184 0.316 0.000 (multiplicity 4)
La 0.173 0.673 0.500 (multiplicity 4)
Rh 0.000 0.000 0.500 (multiplicity 2)

Calculated values
D(E_F): 14.994 states/eV/cell
ΔE_f: -0.12 eV/atom

BaLaSb2Rh2: relaxed, PBE.

Cell: 4.5310 4.5310 9.2867 Å, 90.00 90.00 120.00°
Space group P-3m1 (No. 164)
Inequivalent atoms, fractional coordinates:
Ba 0.0000 0.0000 0.0000 (multiplicity 1)
La 0.0000 0.0000 0.5000 (multiplicity 1)
Sb 0.3333 0.6667 0.2651 (multiplicity 2)
Rh 0.3333 0.6667 0.7173 (multiplicity 2)

Calculated values
Raw formation energy: -0.833 eV/atom
D(E_F): 7.571 states/eV/cell

BaLa2ScRh: relaxed, PBE.

Cell: 5.718 5.718 5.416 Å, 90.00 90.00 90.00°
Space group P4/mmm (No. 123)
Inequivalent atoms, fractional coordinates:
Ba 0.000 0.000 0.000 (multiplicity 1)
La 0.000 0.500 0.500 (multiplicity 2)
Sc 0.500 0.500 0.000 (multiplicity 1)
Rh 0.500 0.500 0.500 (multiplicity 1)

Calculated values
D(E_F): 6.725 states/eV/cell
ΔE_f: -0.22 eV/atom

Ba2SrLaRh: relaxed, PBE.

Cell: 6.416 6.416 5.503 Å, 90.00 90.00 90.00°
Space group P4/mmm (No. 123)
Inequivalent atoms, fractional coordinates:
Ba 0.000 0.500 0.000 (multiplicity 2)
Sr 0.000 0.000 0.500 (multiplicity 1)
La 0.500 0.500 0.500 (multiplicity 1)
Rh 0.500 0.500 0.000 (multiplicity 1)

Calculated values
D(E_F): 5.149 states/eV/cell
ΔE_f: -0.17 eV/atom

BaLaTl2Rh: relaxed, PBE.

Cell: 5.586 5.586 5.177 Å, 90.00 90.00 90.00°
Space group P4/mmm (No. 123)
Inequivalent atoms, fractional coordinates:
Ba 0.000 0.000 0.000 (multiplicity 1)
La 0.500 0.500 0.000 (multiplicity 1)
Tl 0.000 0.500 0.500 (multiplicity 2)
Rh 0.500 0.500 0.500 (multiplicity 1)

Calculated values
D(E_F): 3.783 states/eV/cell
ΔE_f: -0.35 eV/atom

> Number 4 is which compound?

BaLa2ScRh

Please write out number 4 again, unchanged.
BaLa2ScRh: relaxed, PBE.

Cell: 5.718 5.718 5.416 Å, 90.00 90.00 90.00°
Space group P4/mmm (No. 123)
Inequivalent atoms, fractional coordinates:
Ba 0.000 0.000 0.000 (multiplicity 1)
La 0.000 0.500 0.500 (multiplicity 2)
Sc 0.500 0.500 0.000 (multiplicity 1)
Rh 0.500 0.500 0.500 (multiplicity 1)

Calculated values
D(E_F): 6.725 states/eV/cell
ΔE_f: -0.22 eV/atom